(1)
Below is a relaxed LiTeCl2 crystal, with properties calculated at the PBE level.

Energy relative to the elements, uncorrected, eV/atom: -0.62
VASP energy, eV/atom: -2.81
DOS(E_F), states/eV/cell: 1.13

Unit cell a=3.866 b=3.892 c=8.299 alpha=90.00 beta=90.00 gamma=90.00
Space group Pmmm (No. 47)
Unique sites:
Li 0.000 0.000 0.000 [1 per cell]
Te 0.500 0.000 0.500 [1 per cell]
Cl 0.000 0.500 0.500 [1 per cell]
Cl 0.500 0.500 0.000 [1 per cell]

=====

(2)
Below is a relaxed BaSr2Cr crystal, with properties calculated at the PBE level.

VASP energy, eV/atom: -3.15
DOS(E_F), states/eV/cell: 8.02
ΔH_f (0 K), eV/atom: 0.573

Unit cell a=7.649 b=12.869 c=4.029 alpha=90.00 beta=115.16 gamma=90.00
Space group C2/m (No. 12)
Unique sites:
Ba 0.000 0.000 0.000 [2 per cell]
Sr 0.250 0.250 0.500 [4 per cell]
Cr 0.000 0.500 0.000 [2 per cell]

=====

(3)
Below is a relaxed HfSe3 crystal, with properties calculated at the PBE level.

Energy relative to the elements, uncorrected, eV/atom: -1.02
VASP energy, eV/atom: -6.12
DOS(E_F), states/eV/cell: 0.00

Unit cell a=5.449 b=3.750 c=10.045 alpha=90.00 beta=97.39 gamma=90.00
Space group P2_1/m (No. 11)
Unique sites:
Hf 0.215 0.250 0.352 [2 per cell]
Se 0.043 0.250 0.810 [2 per cell]
Se 0.262 0.750 0.551 [2 per cell]
Se 0.395 0.750 0.190 [2 per cell]

=====

(4)
Below is a relaxed Mg2BeTlPt crystal, with properties calculated at the PBE level.

VASP energy, eV/atom: -3.12
DOS(E_F), states/eV/cell: 2.34
ΔH_f (0 K), eV/atom: -0.052

Unit cell a=4.869 b=4.869 c=4.188 alpha=90.00 beta=90.00 gamma=90.00
Space group P4/mmm (No. 123)
Unique sites:
Mg 0.000 0.500 0.000 [2 per cell]
Be 0.000 0.000 0.000 [1 per cell]
Tl 0.500 0.500 0.500 [1 per cell]
Pt 0.000 0.000 0.500 [1 per cell]

=====

(5)
Below is a relaxed Th2MnC crystal, with properties calculated at the PBE level.

VASP energy, eV/atom: -7.95
DOS(E_F), states/eV/cell: 13.55
ΔH_f (0 K), eV/atom: 0.361

Unit cell a=3.4993 b=3.4993 c=26.9991 alpha=90.00 beta=90.00 gamma=120.00
Space group R-3m (No. 166, hexagonal axes)
Unique sites:
Th 0.0000 0.0000 0.1104 [6 per cell]
Mn 0.0000 0.0000 0.0000 [3 per cell]
C 0.0000 0.0000 0.5000 [3 per cell]

=====

(6)
Below is a relaxed Rb3LiCa2F9 crystal, with properties calculated at the PBE level.

Energy relative to the elements, uncorrected, eV/atom: -3.04
VASP energy, eV/atom: -4.75
DOS(E_F), states/eV/cell: 16.57

Unit cell a=6.2182 b=6.2182 c=7.6580 alpha=90.00 beta=90.00 gamma=120.00
Space group P-3m1 (No. 164)
Unique sites:
Rb 0.0000 0.0000 0.0000 [1 per cell]
Rb 0.3333 0.6667 0.6583 [2 per cell]
Li 0.0000 0.0000 0.5000 [1 per cell]
Ca 0.3333 0.6667 0.1737 [2 per cell]
F 0.0000 0.5000 0.0000 [3 per cell]
F 0.1606 0.3212 0.3428 [6 per cell]

=====

(7)
Below is a relaxed Pd3Au2 crystal, with properties calculated at the PBE level.

VASP energy, eV/atom: -4.47
DOS(E_F), states/eV/cell: 19.15
ΔH_f (0 K), eV/atom: -0.038

Unit cell a=4.908 b=4.726 c=7.512 alpha=90.00 beta=109.01 gamma=90.00
Space group P2_1/m (No. 11)
Unique sites:
Pd 0.066 0.250 0.298 [2 per cell]
Pd 0.128 0.750 0.098 [2 per cell]
Pd 0.267 0.250 0.701 [2 per cell]
Au 0.327 0.750 0.496 [2 per cell]
Au 0.466 0.250 0.101 [2 per cell]

=====

(8)
Below is a relaxed Sb5P6O24 crystal, with properties calculated at the PBE level.

Energy relative to the elements, uncorrected, eV/atom: -1.80
VASP energy, eV/atom: -6.72
DOS(E_F), states/eV/cell: 1.17

Unit cell a=8.684 b=8.784 c=9.003 alpha=111.70 beta=104.21 gamma=111.28
Space group P1 (No. 1)
Unique sites:
Sb 0.000 0.000 0.000 [1 per cell]
Sb 0.039 0.511 0.969 [1 per cell]
Sb 0.256 0.878 0.557 [1 per cell]
Sb 0.563 0.380 0.234 [1 per cell]
Sb 0.882 0.162 0.409 [1 per cell]
P 0.142 0.187 0.748 [1 per cell]
P 0.253 0.452 0.366 [1 per cell]
P 0.423 0.978 0.280 [1 per cell]
P 0.675 0.121 0.906 [1 per cell]
P 0.858 0.734 0.205 [1 per cell]
P 0.926 0.627 0.647 [1 per cell]
O 0.014 0.761 0.359 [1 per cell]
O 0.113 0.316 0.167 [1 per cell]
O 0.120 0.752 0.666 [1 per cell]
O 0.127 0.104 0.871 [1 per cell]
O 0.201 0.373 0.481 [1 per cell]
O 0.219 0.399 0.846 [1 per cell]
O 0.259 0.811 0.106 [1 per cell]
O 0.261 0.648 0.412 [1 per cell]
O 0.268 0.129 0.669 [1 per cell]
O 0.397 0.998 0.451 [1 per cell]
O 0.442 0.164 0.284 [1 per cell]
O 0.455 0.503 0.388 [1 per cell]
O 0.469 0.970 0.774 [1 per cell]
O 0.600 0.968 0.302 [1 per cell]
O 0.675 0.623 0.209 [1 per cell]
O 0.686 0.238 0.092 [1 per cell]
O 0.760 0.997 0.927 [1 per cell]
O 0.766 0.242 0.835 [1 per cell]
O 0.795 0.484 0.444 [1 per cell]
O 0.850 0.745 0.736 [1 per cell]
O 0.866 0.638 0.029 [1 per cell]
O 0.885 0.931 0.235 [1 per cell]
O 0.945 0.082 0.590 [1 per cell]
O 0.950 0.500 0.725 [1 per cell]

=====

(9)
Below is a relaxed Cs2NdCrS4 crystal, with properties calculated at the PBE level.

Energy relative to the elements, uncorrected, eV/atom: -1.13
VASP energy, eV/atom: -5.21
DOS(E_F), states/eV/cell: 9.45

Unit cell a=6.616 b=14.371 c=25.996 alpha=90.00 beta=90.00 gamma=90.00
Space group Fddd (No. 70, origin choice 2)
Unique sites:
Cs 0.125 0.125 0.306 [16 per cell]
Nd 0.125 0.125 0.125 [8 per cell]
Cr 0.125 0.125 0.625 [8 per cell]
S 0.081 0.282 0.827 [32 per cell]

=====

(10)
Below is a relaxed Pm2Ga2Tc2C crystal, with properties calculated at the PBE level.

VASP energy, eV/atom: -6.97
DOS(E_F), states/eV/cell: 5.58
ΔH_f (0 K), eV/atom: -0.466

Unit cell a=11.162 b=3.824 c=7.457 alpha=90.00 beta=124.63 gamma=90.00
Space group C2/m (No. 12)
Unique sites:
Pm 0.072 0.000 0.291 [4 per cell]
Ga 0.138 0.500 0.668 [4 per cell]
Tc 0.198 0.500 0.066 [4 per cell]
C 0.000 0.500 0.000 [2 per cell]

=====

(11)
Below is a relaxed SmCo2B crystal, with properties calculated at the PBE level.

VASP energy, eV/atom: -6.57
DOS(E_F), states/eV/cell: 14.37
ΔH_f (0 K), eV/atom: -0.166

Unit cell a=3.6497 b=3.6497 c=14.8895 alpha=90.00 beta=90.00 gamma=120.00
Space group R-3m (No. 166, hexagonal axes)
Unique sites:
Sm 0.0000 0.0000 0.0000 [3 per cell]
Co 0.0000 0.0000 0.1964 [6 per cell]
B 0.0000 0.0000 0.5000 [3 per cell]

=====

(12)
Below is a relaxed KCdCuCl5 crystal, with properties calculated at the PBE level.

Energy relative to the elements, uncorrected, eV/atom: -1.06
VASP energy, eV/atom: -2.98
DOS(E_F), states/eV/cell: 5.82

Unit cell a=8.276 b=12.173 c=9.542 alpha=90.00 beta=112.49 gamma=90.00
Space group C2/c (No. 15)
Unique sites:
K 0.000 0.166 0.250 [4 per cell]
Cd 0.000 0.500 0.000 [4 per cell]
Cu 0.000 0.176 0.750 [4 per cell]
Cl 0.000 0.422 0.250 [4 per cell]
Cl 0.082 0.291 0.600 [8 per cell]
Cl 0.157 0.055 0.932 [8 per cell]